[1]
Below is a relaxed structure of YIrSe2N, with properties calculated at the GGA-PBEsol level.

Lattice parameters (Å, degrees): 5.309 5.309 3.986 90.00 90.00 90.00
Space group P4/mmm (No. 123)
Inequivalent atoms, fractional coordinates:
Y (0.000, 0.000, 0.000) [1 per cell]
Ir (0.500, 0.500, 0.500) [1 per cell]
Se (0.000, 0.500, 0.000) [2 per cell]
N (0.000, 0.000, 0.500) [1 per cell]

---

[2]
Below is a relaxed structure of ZnIrSe2N, with properties calculated at the GGA-PBEsol level.

Lattice parameters (Å, degrees): 5.089 5.089 3.616 90.00 90.00 90.00
Space group P4/mmm (No. 123)
Inequivalent atoms, fractional coordinates:
Zn (0.000, 0.000, 0.000) [1 per cell]
Ir (0.500, 0.500, 0.500) [1 per cell]
Se (0.000, 0.500, 0.500) [2 per cell]
N (0.500, 0.500, 0.000) [1 per cell]

---

[3]
Below is a relaxed structure of Sr3IrN3, with properties calculated at the GGA-PBEsol level.

Lattice parameters (Å, degrees): 7.6275 7.6275 5.2573 90.00 90.00 120.00
Space group P6_3/m (No. 176)
Inequivalent atoms, fractional coordinates:
Sr (0.0962, 0.7325, 0.2500) [6 per cell]
Ir (0.3333, 0.6667, 0.7500) [2 per cell]
N (0.1022, 0.6975, 0.7500) [6 per cell]

---

[4]
Below is a relaxed structure of Sr2IrN, with properties calculated at the GGA-PBEsol level.

Lattice parameters (Å, degrees): 10.511 10.511 3.786 90.00 90.00 90.00
Space group I-42d (No. 122)
Inequivalent atoms, fractional coordinates:
Sr (0.049, 0.750, 0.125) [8 per cell]
Ir (0.000, 0.000, 0.500) [4 per cell]
N (0.000, 0.000, 0.000) [4 per cell]

---

[5]
Below is a relaxed structure of ZrTaIrN2, with properties calculated at the GGA-PBEsol level.

Lattice parameters (Å, degrees): 3.952 3.952 5.235 90.00 90.00 90.00
Space group P4/mmm (No. 123)
Inequivalent atoms, fractional coordinates:
Zr (0.000, 0.000, 0.000) [1 per cell]
Ta (0.500, 0.500, 0.500) [1 per cell]
Ir (0.000, 0.000, 0.500) [1 per cell]
N (0.000, 0.500, 0.000) [2 per cell]

---

[6]
Below is a relaxed structure of TcTeIrN2, with properties calculated at the GGA-PBEsol level.

Lattice parameters (Å, degrees): 3.759 3.759 5.706 90.00 90.00 90.00
Space group P4/mmm (No. 123)
Inequivalent atoms, fractional coordinates:
Tc (0.000, 0.000, 0.000) [1 per cell]
Te (0.000, 0.000, 0.500) [1 per cell]
Ir (0.500, 0.500, 0.500) [1 per cell]
N (0.000, 0.500, 0.000) [2 per cell]

---

[7]
Below is a relaxed structure of TeIr2N, with properties calculated at the GGA-PBEsol level.

Lattice parameters (Å, degrees): 6.097 6.097 6.097 90.00 90.00 90.00
Space group Fm-3m (No. 225)
Inequivalent atoms, fractional coordinates:
Te (0.000, 0.000, 0.000) [4 per cell]
Ir (0.250, 0.250, 0.250) [8 per cell]
N (0.000, 0.000, 0.500) [4 per cell]

---

[8]
Below is a relaxed structure of ZrTe2IrN, with properties calculated at the GGA-PBEsol level.

Lattice parameters (Å, degrees): 5.393 5.393 3.652 90.00 90.00 90.00
Space group P4/mmm (No. 123)
Inequivalent atoms, fractional coordinates:
Zr (0.000, 0.000, 0.000) [1 per cell]
Te (0.000, 0.500, 0.500) [2 per cell]
Ir (0.500, 0.500, 0.500) [1 per cell]
N (0.500, 0.500, 0.000) [1 per cell]

---

[9]
Below is a relaxed structure of TiIrN2, with properties calculated at the GGA-PBEsol level.

Lattice parameters (Å, degrees): 2.8765 2.8765 18.5745 90.00 90.00 120.00
Space group R-3m (No. 166, hexagonal axes)
Inequivalent atoms, fractional coordinates:
Ti (0.0000, 0.0000, 0.0000) [3 per cell]
Ir (0.0000, 0.0000, 0.5000) [3 per cell]
N (0.0000, 0.0000, 0.3957) [6 per cell]

---

[10]
Below is a relaxed structure of TiIr3N, with properties calculated at the GGA-PBEsol level.

Lattice parameters (Å, degrees): 4.531 4.531 4.531 90.00 90.00 90.00
Space group Pm-3m (No. 221)
Inequivalent atoms, fractional coordinates:
Ti (0.000, 0.000, 0.000) [1 per cell]
Ir (0.000, 0.000, 0.500) [3 per cell]
N (0.500, 0.500, 0.500) [1 per cell]

---

[11]
Below is a relaxed structure of TiIrN3, with properties calculated at the GGA-PBEsol level.

Lattice parameters (Å, degrees): 3.835 3.835 3.835 90.00 90.00 90.00
Space group Pm-3m (No. 221)
Inequivalent atoms, fractional coordinates:
Ti (0.000, 0.000, 0.000) [1 per cell]
Ir (0.500, 0.500, 0.500) [1 per cell]
N (0.000, 0.000, 0.500) [3 per cell]

---

[12]
Below is a relaxed structure of TlIrN2, with properties calculated at the GGA-PBEsol level.

Lattice parameters (Å, degrees): 3.1575 3.1575 19.5387 90.00 90.00 120.00
Space group R-3m (No. 166, hexagonal axes)
Inequivalent atoms, fractional coordinates:
Tl (0.0000, 0.0000, 0.0000) [3 per cell]
Ir (0.0000, 0.0000, 0.5000) [3 per cell]
N (0.0000, 0.0000, 0.1195) [6 per cell]

---

[13]
Below is a relaxed structure of Zr2TlIrN, with properties calculated at the GGA-PBEsol level.

Lattice parameters (Å, degrees): 5.292 5.292 3.874 90.00 90.00 90.00
Space group P4/mmm (No. 123)
Inequivalent atoms, fractional coordinates:
Zr (0.000, 0.500, 0.000) [2 per cell]
Tl (0.000, 0.000, 0.000) [1 per cell]
Ir (0.500, 0.500, 0.500) [1 per cell]
N (0.000, 0.000, 0.500) [1 per cell]

---

[14]
Below is a relaxed structure of IrW3N, with properties calculated at the GGA-PBEsol level.

Lattice parameters (Å, degrees): 4.063 4.063 4.063 90.00 90.00 90.00
Space group Pm-3m (No. 221)
Inequivalent atoms, fractional coordinates:
Ir (0.000, 0.000, 0.000) [1 per cell]
W (0.000, 0.500, 0.500) [3 per cell]
N (0.500, 0.500, 0.500) [1 per cell]

---

[15]
Below is a relaxed structure of ZrIrN2, with properties calculated at the GGA-PBEsol level.

Lattice parameters (Å, degrees): 3.3007 3.3007 17.1126 90.00 90.00 120.00
Space group R-3m (No. 166, hexagonal axes)
Inequivalent atoms, fractional coordinates:
Zr (0.0000, 0.0000, 0.0000) [3 per cell]
Ir (0.0000, 0.0000, 0.5000) [3 per cell]
N (0.0000, 0.0000, 0.1210) [6 per cell]

---

[16]
Below is a relaxed structure of ZrIr3N, with properties calculated at the GGA-PBEsol level.

Lattice parameters (Å, degrees): 4.117 4.117 4.117 90.00 90.00 90.00
Space group Pm-3m (No. 221)
Inequivalent atoms, fractional coordinates:
Zr (0.000, 0.000, 0.000) [1 per cell]
Ir (0.000, 0.500, 0.500) [3 per cell]
N (0.500, 0.500, 0.500) [1 per cell]

---

[17]
Below is a relaxed structure of Zr3IrN, with properties calculated at the GGA-PBEsol level.

Lattice parameters (Å, degrees): 4.366 4.366 4.366 90.00 90.00 90.00
Space group Pm-3m (No. 221)
Inequivalent atoms, fractional coordinates:
Zr (0.000, 0.000, 0.500) [3 per cell]
Ir (0.500, 0.500, 0.500) [1 per cell]
N (0.000, 0.000, 0.000) [1 per cell]

---

[18]
Below is a relaxed structure of NaNd2IrO6, with properties calculated at the GGA-PBEsol level.

Lattice parameters (Å, degrees): 5.459 5.940 9.512 90.00 124.07 90.00
Space group P2_1/c (No. 14)
Inequivalent atoms, fractional coordinates:
Na (0.000, 0.000, 0.000) [2 per cell]
Nd (0.223, 0.077, 0.747) [4 per cell]
Ir (0.500, 0.000, 0.500) [2 per cell]
O (0.150, 0.175, 0.448) [4 per cell]
O (0.270, 0.716, 0.433) [4 per cell]
O (0.387, 0.048, 0.266) [4 per cell]

---

[19]
Below is a relaxed structure of Na4IrO4, with properties calculated at the GGA-PBEsol level.

Lattice parameters (Å, degrees): 7.132 7.132 4.719 90.00 90.00 90.00
Space group I4/m (No. 87)
Inequivalent atoms, fractional coordinates:
Na (0.092, 0.698, 0.000) [8 per cell]
Ir (0.000, 0.000, 0.500) [2 per cell]
O (0.084, 0.744, 0.500) [8 per cell]

---

[20]
Below is a relaxed structure of NaIrO3, with properties calculated at the GGA-PBEsol level.

Lattice parameters (Å, degrees): 3.080 10.227 7.147 90.00 90.00 90.00
Space group Cmcm (No. 63)
Inequivalent atoms, fractional coordinates:
Na (0.000, 0.249, 0.250) [4 per cell]
Ir (0.000, 0.500, 0.000) [4 per cell]
O (0.000, 0.114, 0.559) [8 per cell]
O (0.000, 0.426, 0.750) [4 per cell]

---

Values of raw formation energy, in order: 1129, 407, -609, -532, 953, 923, 1231, 144, -471, 2647, 1121, 613, 1778, -159, 174, 9, -1047, -2240, -1233, -1060, all in meV per atom.
Values of DOS at the Fermi energy, in order: 1.26, 0.85, 0.70, 0.63, 0.65, 0.77, 1.29, 0.91, 1.15, 1.72, 0.60, 0.63, 1.17, 0.72, 0.67, 0.62, 0.83, 0.50, 0.10, 0.47, all in states/eV per atom.
Values of VASP energy, in order: -0.40027, -0.37624, -0.47447, -0.44390, -0.64318, -0.54467, -0.49202, -0.49642, -0.68138, -0.48631, -0.56036, -0.49709, -0.44499, -0.89030, -0.64805, -0.69153, -0.74753, -0.55460, -0.38808, -0.47438, all in Ry/atom.